1.
This record from Alexandria describes a relaxed Nd2RuBr crystal. The functional is PBE.

Properties
Formation energy from raw total energies ... -746.8 meV/atom
Space-group type ... No. 166
V ... 28.590 Å³ per atom
Total magnetic moment ... 0.000 μB/atom

Unit cell a=4.1035 b=4.1035 c=8.1921 alpha=90.00 beta=104.51 gamma=120.00
Atoms (fractional coordinates):
1 Nd 0.4645 0.7320 0.1965
2 Nd 0.5355 0.2679 0.8034
3 Ru 0.9999 0.0000 0.9999
4 Br 0.0001 0.5001 0.5002

=====

2.
This record from Alexandria describes a relaxed Nd6Ru2SeBr3 crystal. The functional is PBE.

Properties
Formation energy from raw total energies ... -1051.9 meV/atom
Space-group type ... No. 12
V ... 29.385 Å³ per atom
Total magnetic moment ... 0.000 μB/atom

Unit cell a=7.2752 b=7.2752 c=8.0627 alpha=98.64 beta=98.64 gamma=119.97
Atoms (fractional coordinates):
1 Se 0.0000 0.0000 0.0000
2 Br 0.8366 0.1634 0.5000
3 Nd 0.7096 0.7096 0.1995
4 Nd 0.5773 0.9338 0.7997
5 Ru 0.6670 0.3330 0.0000
6 Br 0.1634 0.8366 0.5000
7 Nd 0.2904 0.2904 0.8005
8 Nd 0.9338 0.5773 0.7997
9 Ru 0.3330 0.6670 0.0000
10 Nd 0.0662 0.4227 0.2003
11 Nd 0.4227 0.0662 0.2003
12 Br 0.5000 0.5000 0.5000

=====

3.
This record from Alexandria describes a relaxed Nd4RuSe2Br crystal. The functional is PBE.

Properties
Formation energy from raw total energies ... -1222.7 meV/atom
Space-group type ... No. 10
V ... 27.498 Å³ per atom
Total magnetic moment ... 0.000 μB/atom

Unit cell a=4.1132 b=7.4449 c=7.5157 alpha=72.91 beta=90.00 gamma=90.00
Atoms (fractional coordinates):
1 Se 0.5000 0.0000 0.5000
2 Se 0.0000 0.0000 0.0000
3 Ru 0.0000 0.5000 0.5000
4 Br 0.5000 0.5000 0.0000
5 Nd 0.5000 0.7344 0.2762
6 Nd 0.0000 0.2513 0.2816
7 Nd 0.5000 0.2656 0.7238
8 Nd 0.0000 0.7487 0.7184

=====

4.
This record from Alexandria describes a relaxed Nd8SiRu3Br4 crystal. The functional is PBE.

Properties
Formation energy from raw total energies ... -829.7 meV/atom
Space-group type ... No. 166
V ... 29.118 Å³ per atom
Total magnetic moment ... 0.000 μB/atom

Unit cell a=8.3394 b=9.1129 c=8.3399 alpha=117.25 beta=120.00 gamma=90.00
Atoms (fractional coordinates):
1 Nd 0.2815 0.3066 0.0440
2 Nd 0.7185 0.6934 0.9560
3 Br 0.0000 0.0000 0.0000
4 Si 0.0000 0.5000 0.0000
5 Br 0.5000 0.0000 0.0000
6 Ru 0.0000 0.5000 0.5000
7 Br 0.5000 0.0000 0.5000
8 Ru 0.5000 0.5000 0.5000
9 Nd 0.2375 0.6936 0.4750
10 Br 0.0000 0.0000 0.5000
11 Nd 0.2643 0.2932 0.5285
12 Ru 0.5000 0.5000 0.0000
13 Nd 0.7357 0.7068 0.4715
14 Nd 0.7625 0.3066 0.0440
15 Nd 0.7625 0.3064 0.5250
16 Nd 0.2375 0.6934 0.9560

=====

Q: What is the formula in the first record?
A: Nd2RuBr

=====

Q: Among the records above, which one has the highest V?
A: Nd6Ru2SeBr3

=====

Repeat the fourth record exactly.
This record from Alexandria describes a relaxed Nd8SiRu3Br4 crystal. The functional is PBE.

Properties
Formation energy from raw total energies ... -829.7 meV/atom
Space-group type ... No. 166
V ... 29.118 Å³ per atom
Total magnetic moment ... 0.000 μB/atom

Unit cell a=8.3394 b=9.1129 c=8.3399 alpha=117.25 beta=120.00 gamma=90.00
Atoms (fractional coordinates):
1 Nd 0.2815 0.3066 0.0440
2 Nd 0.7185 0.6934 0.9560
3 Br 0.0000 0.0000 0.0000
4 Si 0.0000 0.5000 0.0000
5 Br 0.5000 0.0000 0.0000
6 Ru 0.0000 0.5000 0.5000
7 Br 0.5000 0.0000 0.5000
8 Ru 0.5000 0.5000 0.5000
9 Nd 0.2375 0.6936 0.4750
10 Br 0.0000 0.0000 0.5000
11 Nd 0.2643 0.2932 0.5285
12 Ru 0.5000 0.5000 0.0000
13 Nd 0.7357 0.7068 0.4715
14 Nd 0.7625 0.3066 0.0440
15 Nd 0.7625 0.3064 0.5250
16 Nd 0.2375 0.6934 0.9560